[1]
Crystalline BaNa3Li at its relaxed geometry, computed with PBE.

```
BaNa3Li
1.0
5.8777 0.0000 0.0000
0.0000 5.8777 0.0000
0.0000 0.0000 5.8777
Ba Na Li
1 3 1
Direct
0.0000 0.0000 0.0000
0.0000 0.5000 0.5000
0.5000 0.0000 0.5000
0.5000 0.5000 0.0000
0.5000 0.5000 0.5000
```

Values from the calculation:
The calculated formation energy comes out at 0.097 eV/atom. For the density of states at the Fermi level, the calculation gives 4.2 states/eV/cell. The energy above the most stable polymorph in this dataset is 0.30 eV/f.u.


[2]
Crystalline BaCd9Cu2 at its relaxed geometry, computed with PBE.

```
BaCd9Cu2
1.0
8.8834 0.0000 0.0000
-4.4417 7.6932 0.0000
0.0000 0.0000 4.1943
Ba Cd Cu
1 9 2
Direct
0.0000 0.0000 0.0000
0.0000 0.5000 0.0000
0.2049 0.4099 0.5000
0.2049 0.7951 0.5000
0.4099 0.2049 0.5000
0.5000 0.0000 0.0000
0.5000 0.5000 0.0000
0.5901 0.7951 0.5000
0.7951 0.2049 0.5000
0.7951 0.5901 0.5000
0.3333 0.6667 0.0000
0.6667 0.3333 0.0000
```

Values from the calculation:
The calculated formation energy comes out at -0.099 eV/atom. For the density of states at the Fermi level, the calculation gives 2.9 states/eV/cell.


[3]
Crystalline NaAgHgSe2 at its relaxed geometry, computed with PBE.

```
NaAgHgSe2
1.0
7.6628 -2.1501 0.0000
7.6628 2.1501 0.0000
-2.0193 0.0000 8.2505
Na Ag Hg Se
2 2 2 4
Direct
0.2252 0.2252 0.2114
0.7748 0.7748 0.7886
0.1371 0.1371 0.5562
0.8629 0.8629 0.4438
0.4748 0.4748 0.2230
0.5252 0.5252 0.7770
0.1313 0.1313 0.8626
0.3582 0.3582 0.6249
0.6418 0.6418 0.3751
0.8687 0.8687 0.1374
```

Values from the calculation:
For the density of states at the Fermi level, the calculation gives 0.8 states/eV/cell.


[4]
Crystalline CdNiCl2 at its relaxed geometry, computed with PBE.

```
CdNiCl2
1.0
3.6156 0.0000 0.0000
0.0000 3.6156 0.0000
0.0000 0.0000 6.7606
Cd Ni Cl
1 1 2
Direct
0.0000 0.0000 0.0000
0.5000 0.5000 0.8673
0.0000 0.0000 0.6223
0.5000 0.5000 0.1914
```

Values from the calculation:
The energy above the most stable polymorph in this dataset is 0.89 eV/f.u.


In order of appearance, E = -1.462 -1.629 -2.729 -2.768 eV/atom.